# Ba2RePb

An optimized crystal structure of Ba2RePb (GGA-PBE, Alexandria).

For the calculated total energy, the calculation gives -4.184 eV per atom. Its total magnetization is 0.00 μB/f.u. The energy of formation comes out at 0.8168 eV/atom.

It has space group Cmmm (No. 65), with a = 7.410 Å, b = 10.184 Å, c = 3.279 Å, α = 90.00°, β = 90.00° and γ = 90.00°. The asymmetric unit holds Ba at (0.250, 0.250, 0.000), Re at (0.000, 0.000, 0.500) and Pb at (0.000, 0.500, 0.500).


# LiSn

An optimized crystal structure of LiSn (GGA-PBE, Alexandria).

For the calculated total energy, the calculation gives -3.223 eV per atom. Its total magnetization is 0.00 μB/f.u. The energy of formation comes out at -0.2645 eV/atom.

It has space group P2_12_12_1 (No. 19), with a = 5.335 Å, b = 5.831 Å, c = 11.060 Å, α = 90.00°, β = 90.00° and γ = 90.00°. The asymmetric unit holds Li at (0.180, 0.041, 0.317), Li at (0.185, 0.667, 0.561), Sn at (0.184, 0.447, 0.805) and Sn at (0.186, 0.844, 0.066).


# Lu2GaRh

An optimized crystal structure of Lu2GaRh (GGA-PBE, Alexandria).

For the calculated total energy, the calculation gives -5.661 eV per atom. Its total magnetization is 0.00 μB/f.u. The energy of formation comes out at -0.8057 eV/atom. The polymorph energy (0 for the lowest one) comes out at 0 meV per atom.

It has space group P4/mmm (No. 123), with a = 3.427 Å, b = 3.427 Å, c = 6.915 Å, α = 90.00°, β = 90.00° and γ = 90.00°. The asymmetric unit holds Lu at (0.000, 0.000, 0.234), Ga at (0.500, 0.500, 0.500) and Rh at (0.500, 0.500, 0.000).


# NdSiPt6

An optimized crystal structure of NdSiPt6 (GGA-PBE, Alexandria).

For the calculated total energy, the calculation gives -6.326 eV per atom. Its total magnetization is 0.00 μB/f.u. The value obtained for the uncorrected formation energy is -4.176 eV per formula unit.

It has space group R-3m (No. 166, hexagonal axes), with a = 5.5490 Å, b = 5.5490 Å, c = 18.1416 Å, α = 90.00°, β = 90.00° and γ = 120.00°. The asymmetric unit holds Nd at (0.0000, 0.0000, 0.0000), Si at (0.0000, 0.0000, 0.5000) and Pt at (0.0118, 0.5059, 0.9235).


# Ho2Mg3Au4

An optimized crystal structure of Ho2Mg3Au4 (GGA-PBE, Alexandria).

For the calculated total energy, the calculation gives -3.671 eV per atom. Its total magnetization is 0.00 μB/f.u. The energy of formation comes out at -0.6660 eV/atom. The polymorph energy (0 for the lowest one) comes out at 0 meV per atom.

It has space group C2/m (No. 12), with a = 8.233 Å, b = 4.720 Å, c = 9.792 Å, α = 90.00°, β = 90.46° and γ = 90.00°. The asymmetric unit holds Ho at (0.168, 0.000, 0.217), Mg at (0.000, 0.500, 0.000), Mg at (0.164, 0.000, 0.578), Au at (0.003, 0.500, 0.355) and Au at (0.166, 0.000, 0.914).


# Y3Cu

An optimized crystal structure of Y3Cu (GGA-PBE, Alexandria).

For the calculated total energy, the calculation gives -5.655 eV per atom. Its total magnetization is 0.00 μB/f.u. The energy of formation comes out at 0.2167 eV/atom.

It has space group Fm-3m (No. 225), with a = 7.510 Å, b = 7.510 Å, c = 7.510 Å, α = 90.00°, β = 90.00° and γ = 90.00°. The asymmetric unit holds Y at (0.000, 0.000, 0.000), Y at (0.250, 0.250, 0.250) and Cu at (0.000, 0.000, 0.500).


# SrAg3Sb3

An optimized crystal structure of SrAg3Sb3 (GGA-PBE, Alexandria).

For the calculated total energy, the calculation gives -3.219 eV per atom. Its total magnetization is 0.00 μB/f.u. The value obtained for the uncorrected formation energy is 0.068 eV per formula unit.

It has space group Pm-3n (No. 223), with a = 7.640 Å, b = 7.640 Å, c = 7.640 Å, α = 90.00°, β = 90.00° and γ = 90.00°. The asymmetric unit holds Sr at (0.000, 0.000, 0.000), Ag at (0.000, 0.250, 0.500) and Sb at (0.000, 0.500, 0.250).


# Pr4Er2N

An optimized crystal structure of Pr4Er2N (GGA-PBE, Alexandria).

For the calculated total energy, the calculation gives -5.370 eV per atom. Its total magnetization is 0.00 μB/f.u. The value obtained for the uncorrected formation energy is -1.019 eV per formula unit.

It has space group I4/mmm (No. 139), with a = 5.062 Å, b = 5.062 Å, c = 17.621 Å, α = 90.00°, β = 90.00° and γ = 90.00°. The asymmetric unit holds Pr at (0.000, 0.000, 0.137), Pr at (0.000, 0.500, 0.000), Er at (0.000, 0.000, 0.339) and N at (0.000, 0.000, 0.000).


# Mg5Cd2InHg

An optimized crystal structure of Mg5Cd2InHg (GGA-PBE, Alexandria).

For the calculated total energy, the calculation gives -1.432 eV per atom. Its total magnetization is 0.00 μB/f.u. The energy of formation comes out at -0.0051 eV/atom.

It has space group I4/mcm (No. 140), with a = 7.759 Å, b = 7.759 Å, c = 14.413 Å, α = 90.00°, β = 90.00° and γ = 90.00°. The asymmetric unit holds Mg at (0.000, 0.000, 0.000), Mg at (0.203, 0.297, 0.138), Cd at (0.124, 0.376, 0.500), In at (0.000, 0.000, 0.250) and Hg at (0.000, 0.500, 0.250).


# Mn2CrNi

An optimized crystal structure of Mn2CrNi (GGA-PBE, Alexandria).

For the calculated total energy, the calculation gives -8.323 eV per atom. Its total magnetization is 0.01 μB/f.u. The energy of formation comes out at 0.1131 eV/atom.

It has space group Cm (No. 8), with a = 8.325 Å, b = 2.512 Å, c = 4.362 Å, α = 90.00°, β = 99.86° and γ = 90.00°. The asymmetric unit holds Mn at (0.000, 0.000, 0.000), Mn at (0.248, 0.500, 0.234), Cr at (0.000, 0.500, 0.504) and Ni at (0.250, 0.000, 0.736).


# Tb5AlSb2

An optimized crystal structure of Tb5AlSb2 (GGA-PBE, Alexandria).

For the calculated total energy, the calculation gives -4.729 eV per atom. Its total magnetization is 0.00 μB/f.u. The value obtained for the uncorrected formation energy is -2.695 eV per formula unit.

It has space group Cmcm (No. 63), with a = 5.688 Å, b = 11.453 Å, c = 14.314 Å, α = 90.00°, β = 90.00° and γ = 90.00°. The asymmetric unit holds Tb at (0.000, 0.077, 0.101), Tb at (0.000, 0.376, 0.052), Tb at (0.000, 0.420, 0.750), Al at (0.000, 0.285, 0.250) and Sb at (0.000, 0.200, 0.617).


# MnBiAuN

An optimized crystal structure of MnBiAuN (GGA-PBE, Alexandria).

For the calculated total energy, the calculation gives -5.702 eV per atom. Its total magnetization is 2.28 μB/f.u. The polymorph energy (0 for the lowest one) comes out at 326 meV per atom. The value obtained for the uncorrected formation energy is 1.846 eV per formula unit.

It has space group Cm (No. 8), with a = 11.909 Å, b = 4.259 Å, c = 3.107 Å, α = 90.00°, β = 105.12° and γ = 90.00°. The asymmetric unit holds Mn at (0.000, 0.000, 0.000), Bi at (0.247, 0.000, 0.746), Au at (0.052, 0.500, 0.552) and N at (0.356, 0.500, 0.857).